# 1
Below is a relaxed structure of TlZnHg2, with properties calculated at the GGA-PBE level.

The structure in POSCAR format:
```
TlZnHg2
1.0
-2.307 2.307 4.810
2.307 -2.307 4.810
2.307 2.307 -4.810
Tl Zn Hg
1 1 2
Direct
0.000 0.000 0.000
0.250 0.750 0.500
0.500 0.500 0.000
0.750 0.250 0.500
```

Output
- calculated total energy (eV per atom) = -0.961

***

# 2
Below is a relaxed structure of TlZnHg4, with properties calculated at the GGA-PBE level.

The structure in POSCAR format:
```
TlZnHg4
1.0
7.338 0.000 0.000
0.000 6.676 0.000
-1.811 0.000 6.692
Tl Zn Hg
2 2 8
Direct
0.000 0.000 0.000
0.000 0.500 0.500
0.500 0.000 0.000
0.500 0.500 0.500
0.189 0.081 0.639
0.189 0.419 0.139
0.367 0.635 0.827
0.367 0.865 0.327
0.633 0.135 0.673
0.633 0.365 0.173
0.811 0.581 0.861
0.811 0.919 0.361
```

Output
- calculated total energy (eV per atom) = -0.748
- energy relative to the lowest polymorph listed for this composition (meV per atom) = 0.0